Record 1
Entry from Alexandria: crystalline Na2TiP2 at its relaxed geometry (PBE).

Cell: 6.448 6.448 4.753 Å, 90.00 90.00 90.00°
Fractional positions:
Na  0.826  0.326  0.500
Na  0.174  0.674  0.500
Na  0.326  0.174  0.500
Na  0.674  0.826  0.500
P  0.627  0.127  0.000
P  0.127  0.373  0.000
P  0.373  0.873  0.000
P  0.873  0.627  0.000
Ti  0.000  0.000  0.000
Ti  0.500  0.500  0.000

Computed properties:
As for the density of states at the Fermi level: 5.46 states/eV per cell. As for the total energy: -0.16934 Ha/atom. As for the density: 2.6 g/cm³. Its space group is P4/mbm.

---

Record 2
Entry from Alexandria: crystalline NaTiP2 at its relaxed geometry (PBE).

Cell: 3.409 3.409 7.693 Å, 77.20 77.20 60.00°
Fractional positions:
P  0.264  0.264  0.208
P  0.069  0.069  0.792
Ti  0.667  0.667  0.998
Na  0.499  0.499  0.502

Computed properties:
As for the density of states at the Fermi level: 0.91 states/eV per cell. As for the total energy: -0.20417 Ha/atom. Its offset from the most stable computed form is 0.0000 eV/atom. As for the density: 2.9 g/cm³. Its space group is R3m.